VASP calculation (PBE) on a relaxed structure of CrPd2C.

Structure (POSCAR):
```
CrPd2C
1.0
-0.269 6.285 -3.856
-7.298 0.324 1.037
-3.497 4.352 0.279
Cr Pd C
2 4 2
Direct
0.750 0.250 0.500 Cr
0.000 0.000 0.000 Cr
0.875 0.746 0.750 Pd
0.375 0.504 0.750 Pd
0.496 0.125 0.250 Pd
0.254 0.625 0.250 Pd
0.500 0.500 0.000 C
0.250 0.750 0.500 C
```

Computed properties:
As for the space group: I-42d, No. 122. As for the crystal system: tetragonal. The calculation puts the formation energy at 0.677 eV/atom.

VASP calculation (PBE) on a relaxed structure of Sm2Dy12Ho5.

Structure (POSCAR):
```
Sm2Dy12Ho5
1.0
-2.323 4.454 -3.532
-2.039 -13.497 -1.442
-3.607 12.176 8.817
Dy Sm Ho
12 2 5
Direct
0.893 0.682 0.921 Dy
0.527 0.580 0.395 Dy
0.107 0.318 0.079 Dy
0.843 0.528 0.132 Dy
0.157 0.472 0.868 Dy
0.473 0.420 0.605 Dy
0.947 0.841 0.709 Dy
0.263 0.790 0.447 Dy
0.685 0.052 0.762 Dy
0.053 0.159 0.291 Dy
0.737 0.210 0.553 Dy
0.315 0.948 0.238 Dy
0.370 0.106 0.026 Sm
0.630 0.894 0.974 Sm
0.579 0.737 0.185 Ho
0.421 0.263 0.815 Ho
0.209 0.630 0.656 Ho
0.000 0.000 0.500 Ho
0.791 0.370 0.344 Ho
```

Computed properties:
The energy above the most stable polymorph in this dataset comes out at 0.0 meV per atom. As for the space group: P-1, No. 2. As for the crystal system: triclinic. The calculation puts the formation energy at 0.018 eV/atom.

VASP calculation (PBE) on a relaxed structure of Ce2ErBeC2.

Structure (POSCAR):
```
Ce2ErBeC2
1.0
3.543 0.000 0.000
0.000 5.363 0.000
0.000 0.000 11.254
Ce C Er Be
4 4 2 2
Direct
0.000 0.509 0.287 Ce
0.500 0.991 0.787 Ce
0.500 0.009 0.213 Ce
0.000 0.491 0.713 Ce
0.500 0.264 0.603 C
0.000 0.764 0.897 C
0.000 0.236 0.103 C
0.500 0.736 0.397 C
0.000 0.000 0.500 Er
0.500 0.500 0.000 Er
0.500 0.500 0.500 Be
0.000 0.000 0.000 Be
```

Computed properties:
As for the space group: Pnnm, No. 58. As for the crystal system: orthorhombic. The calculation puts the formation energy at -0.125 eV/atom.

VASP calculation (PBE) on a relaxed structure of Li2Ac3La2Hg4.

Structure (POSCAR):
```
Li2Ac3La2Hg4
1.0
-2.590 1.200 4.302
-2.270 -2.825 -3.677
5.075 -12.645 6.582
Li Hg Ac La
2 4 3 2
Direct
0.333 0.667 0.133 Li
0.667 0.333 0.867 Li
0.333 0.667 0.875 Hg
0.333 0.667 0.352 Hg
0.667 0.333 0.125 Hg
0.667 0.333 0.648 Hg
0.000 0.000 0.246 Ac
0.000 0.000 0.000 Ac
0.000 0.000 0.754 Ac
0.333 0.667 0.571 La
0.667 0.333 0.429 La
```

Computed properties:
As for the space group: P-3m1, No. 164. As for the crystal system: trigonal. The calculation puts the formation energy at -0.271 eV/atom.

VASP calculation (PBE) on a relaxed structure of TaBeN3.

Structure (POSCAR):
```
TaBeN3
1.0
-1.817 3.322 1.332
-2.019 0.282 -3.458
-2.955 -2.236 1.543
N Ta Be
3 1 1
Direct
0.000 0.000 0.500 N
0.000 0.500 0.000 N
0.500 0.000 0.000 N
0.000 0.000 0.000 Ta
0.500 0.500 0.500 Be
```

Computed properties:
The value obtained for the formation energy without anion corrections is 0.8648 eV per atom. As for the space group: Pm-3m, No. 221. As for the crystal system: cubic.

VASP calculation (PBE) on a relaxed structure of Pm5Co2Ag2.

Structure (POSCAR):
```
Pm5Co2Ag2
1.0
-5.530 3.242 -3.860
0.388 -5.410 -5.100
-5.650 -1.626 6.728
Pm Ag Co
10 4 4
Direct
0.000 0.000 0.000 Pm
0.183 0.193 0.751 Pm
0.317 0.942 0.249 Pm
0.183 0.442 0.249 Pm
0.817 0.558 0.751 Pm
0.317 0.693 0.751 Pm
0.817 0.807 0.249 Pm
0.683 0.307 0.249 Pm
0.500 0.500 0.000 Pm
0.683 0.058 0.751 Pm
0.000 0.780 0.561 Ag
0.000 0.220 0.439 Ag
0.500 0.280 0.561 Ag
0.500 0.720 0.439 Ag
0.890 0.392 0.000 Co
0.110 0.608 0.000 Co
0.390 0.108 0.000 Co
0.610 0.892 0.000 Co
```

Computed properties:
As for the space group: Cmce, No. 64. As for the crystal system: orthorhombic. The calculation puts the formation energy at -0.135 eV/atom.

VASP calculation (PBE) on a relaxed structure of Mo2AsW.

Structure (POSCAR):
```
Mo2AsW
1.0
2.846 0.001 0.000
-1.002 2.663 0.000
0.000 0.000 8.466
W As Mo
1 1 2
Direct
0.000 0.000 0.503 W
0.500 0.500 0.751 As
0.000 0.000 0.996 Mo
0.500 0.500 0.250 Mo
```

Computed properties:
As for the space group: Cmm2, No. 35. As for the crystal system: orthorhombic. The calculation puts the formation energy at 0.270 eV/atom.

VASP calculation (PBE) on a relaxed structure of Zr2NiTe.

Structure (POSCAR):
```
Zr2NiTe
1.0
-3.181 -6.794 -0.240
-2.415 -6.255 3.374
-5.491 -4.762 1.875
Te Zr Ni
1 2 1
Direct
0.768 0.768 0.768 Te
0.230 0.230 0.230 Zr
0.007 0.007 0.007 Zr
0.495 0.495 0.495 Ni
```

Computed properties:
The value obtained for the formation energy without anion corrections is -0.1423 eV per atom. As for the space group: R3m, No. 160. As for the crystal system: trigonal.

What did we get for calculated total energy? Answer: -53.05 -87.21 -78.71 -30.19 -36.23 -89.76 -38.18 -26.59 eV for the cell shown, in the order shown.